Arrangement 1

4
Lattice="-1.536 2.777 -2.346 -3.957 -0.468 2.036 2.164 2.416 4.763" Properties=species:S:1:pos:R:3 comment="LaNdNiPt (PBE, relaxed)" n_ef_per_ev_atom=0.671 pbc="T T T"
La -1.732 3.919 2.453
Nd 0.384 1.046 0.987
Ni 1.171 3.189 3.009
Pt -2.522 1.764 0.420

Arrangement 2

4
Lattice="-3.115 -3.293 -2.297 -2.595 -3.390 2.757 -5.032 0.472 0.526" Properties=species:S:1:pos:R:3 comment="LaNdNiPt (PBE, relaxed)" n_ef_per_ev_atom=1.128 pbc="T T T"
Ni -2.686 -1.553 0.246
Nd 0.000 0.000 0.000
Pt -8.057 -4.658 0.739
La -5.371 -3.105 0.493

The structure with the greatest stability is arrangement 1.